Here is CeTh2Ni9 after structural relaxation from the Alexandria database. Energies are from PBE.

Values from the calculation:
Crystal system ... hexagonal
Space group ... P6_3/mmc
Energy relative to the elements ... -0.404 eV/atom

Structure (POSCAR):
```
CeTh2Ni9
1.0
-0.759 -4.687 1.530
3.335 2.879 2.340
-11.932 5.341 10.437
Ni Th Ce
18 4 2
direct
0.000 0.000 0.750
0.000 0.000 0.000
0.000 0.000 0.500
0.000 0.000 0.250
0.833 0.667 0.872
0.667 0.333 0.750
0.333 0.167 0.872
0.333 0.167 0.628
0.667 0.833 0.128
0.667 0.833 0.372
0.167 0.833 0.372
0.833 0.167 0.872
0.167 0.833 0.128
0.167 0.333 0.128
0.833 0.667 0.628
0.333 0.667 0.250
0.833 0.167 0.628
0.167 0.333 0.372
0.333 0.667 0.546
0.333 0.667 0.954
0.667 0.333 0.454
0.667 0.333 0.046
0.667 0.333 0.250
0.333 0.667 0.750
```